DFT (PBE) results for a geometry-optimized LiI2Cl6 structure.

Computed properties:
- total DFT energy (no corrections) (eV for the cell shown) = -40.62
- spin magnetization (μB/atom) = 0.00

Lattice parameters (Å, degrees): 14.7872 5.3254 8.7935 90.00 108.48 90.00
Space group C2/m (No. 12)
Symmetry-distinct sites (fractional):
Li  0.0000  0.0000  0.0000
I  0.2106  0.5000  0.7891
Cl  0.0550  0.5000  0.8443
Cl  0.1258  0.0000  0.2500
Cl  0.1978  0.0000  0.7439


DFT (PBE) results for a geometry-optimized Li5ICl4 structure.

Computed properties:
- total DFT energy (no corrections) (eV for the cell shown) = -70.68
- spin magnetization (μB/atom) = 0.00

Lattice parameters (Å, degrees): 4.0834 4.0834 32.5111 90.00 90.00 120.00
Space group P3m1 (No. 156)
Symmetry-distinct sites (fractional):
Li  0.0000  0.0000  0.0000
Li  0.0000  0.0000  0.1872
Li  0.0000  0.0000  0.3756
Li  0.0000  0.0000  0.5634
Li  0.0000  0.0000  0.7821
Li  0.6667  0.3333  0.0934
Li  0.6667  0.3333  0.2816
Li  0.6667  0.3333  0.4693
Li  0.6667  0.3333  0.6566
Li  0.6667  0.3333  0.8747
I  0.6667  0.3333  0.7439
I  0.6667  0.3333  0.9619
Cl  0.0000  0.0000  0.0731
Cl  0.0000  0.0000  0.2612
Cl  0.0000  0.0000  0.4493
Cl  0.0000  0.0000  0.6370
Cl  0.0000  0.0000  0.8550
Cl  0.6667  0.3333  0.1671
Cl  0.6667  0.3333  0.3554
Cl  0.6667  0.3333  0.5431


DFT (PBE) results for a geometry-optimized LiICl5 structure.

Computed properties:
- total DFT energy (no corrections) (eV for the cell shown) = -32.51
- spin magnetization (μB/atom) = 0.00

Lattice parameters (Å, degrees): 8.1971 8.5162 9.0242 111.72 110.42 102.79
Space group P-1 (No. 2)
Symmetry-distinct sites (fractional):
Li  0.0000  0.0000  0.0000
Li  0.5000  0.0000  0.0000
I  0.1860  0.4360  0.8716
Cl  0.0824  0.8548  0.3583
Cl  0.1388  0.3788  0.1160
Cl  0.2250  0.4976  0.6417
Cl  0.3151  0.0650  0.1305
Cl  0.4769  0.7369  0.1160


DFT (PBE) results for a geometry-optimized Li3ICl2 structure.

Computed properties:
- total DFT energy (no corrections) (eV for the cell shown) = -20.51
- spin magnetization (μB/atom) = 0.00

Lattice parameters (Å, degrees): 4.1354 4.1354 10.1466 90.00 90.00 120.00
Space group P3m1 (No. 156)
Symmetry-distinct sites (fractional):
Li  0.0000  0.0000  0.0000
Li  0.3333  0.6667  0.6020
Li  0.6667  0.3333  0.3016
I  0.0000  0.0000  0.7230
Cl  0.3333  0.6667  0.3686
Cl  0.6667  0.3333  0.0662


DFT (PBE) results for a geometry-optimized Li3ICl2 structure.

Computed properties:
- total DFT energy (no corrections) (eV for the cell shown) = -41.22
- spin magnetization (μB/atom) = 0.00

Lattice parameters (Å, degrees): 4.1648 12.4729 5.7278 90.00 90.00 90.00
Space group Imm2 (No. 44)
Symmetry-distinct sites (fractional):
Li  0.0000  0.0000  0.0000
Li  0.0000  0.3145  0.0902
I  0.0000  0.5000  0.8144
Cl  0.0000  0.1720  0.8088


DFT (PBE) results for a geometry-optimized LiI2Cl8 structure.

Computed properties:
- total DFT energy (no corrections) (eV for the cell shown) = -21.60
- spin magnetization (μB/atom) = 0.00

Lattice parameters (Å, degrees): 7.7524 7.7524 6.4387 90.00 90.00 120.00
Space group P-3 (No. 147)
Symmetry-distinct sites (fractional):
Li  0.0000  0.0000  0.0000
I  0.3333  0.6667  0.7581
Cl  0.1501  0.8488  0.7409
Cl  0.3333  0.6667  0.2521


DFT (PBE) results for a geometry-optimized LiI2Cl structure.

Computed properties:
- total DFT energy (no corrections) (eV for the cell shown) = -33.21
- spin magnetization (μB/atom) = 0.00

Lattice parameters (Å, degrees): 5.5024 5.5024 20.3073 90.00 90.00 90.00
Space group I-42d (No. 122)
Symmetry-distinct sites (fractional):
Li  0.0000  0.0000  0.0000
I  0.0930  0.2500  0.1250
Cl  0.0000  0.0000  0.5000


DFT (PBE) results for a geometry-optimized LiICl6 structure.

Computed properties:
- total DFT energy (no corrections) (eV for the cell shown) = -55.15
- spin magnetization (μB/atom) = 0.00

Lattice parameters (Å, degrees): 6.5455 6.5455 17.5321 90.00 90.00 120.00
Space group R-3 (No. 148, hexagonal axes)
Symmetry-distinct sites (fractional):
Li  0.0000  0.0000  0.0000
I  0.0000  0.0000  0.5000
Cl  0.0081  0.3181  0.5822


DFT (PBE) results for a geometry-optimized Li5I4Cl structure.

Computed properties:
- total DFT energy (no corrections) (eV for the cell shown) = -61.62
- spin magnetization (μB/atom) = 0.00

Lattice parameters (Å, degrees): 4.4587 4.4587 35.9731 90.00 90.00 120.00
Space group P3m1 (No. 156)
Symmetry-distinct sites (fractional):
Li  0.0000  0.0000  0.0000
Li  0.0000  0.0000  0.1835
Li  0.0000  0.0000  0.3949
Li  0.0000  0.0000  0.6055
Li  0.0000  0.0000  0.8160
Li  0.6667  0.3333  0.1057
Li  0.6667  0.3333  0.2896
Li  0.6667  0.3333  0.5002
Li  0.6667  0.3333  0.7109
Li  0.6667  0.3333  0.9216
I  0.0000  0.0000  0.0786
I  0.0000  0.0000  0.2623
I  0.0000  0.0000  0.4725
I  0.0000  0.0000  0.6834
I  0.0000  0.0000  0.8940
I  0.6667  0.3333  0.3672
I  0.6667  0.3333  0.5779
I  0.6667  0.3333  0.7889
Cl  0.6667  0.3333  0.1707
Cl  0.6667  0.3333  0.9865


DFT (PBE) results for a geometry-optimized Li6I5Cl structure.

Computed properties:
- total DFT energy (no corrections) (eV for the cell shown) = -72.46
- spin magnetization (μB/atom) = 0.00

Lattice parameters (Å, degrees): 7.2192 12.5423 7.2126 90.00 109.33 90.00
Space group C2/m (No. 12)
Symmetry-distinct sites (fractional):
Li  0.2281  0.0000  0.2594
Li  0.2291  0.1512  0.7347
I  0.0000  0.1649  0.0000
I  0.0000  0.3325  0.5000
I  0.0000  0.5000  0.0000
Cl  0.0000  0.0000  0.5000


DFT (PBE) results for a geometry-optimized Li5ICl4 structure.

Computed properties:
- total DFT energy (no corrections) (eV for the cell shown) = -69.80
- spin magnetization (μB/atom) = 0.00

Lattice parameters (Å, degrees): 3.8503 3.8503 26.5036 90.00 90.00 90.00
Space group I4/mmm (No. 139)
Symmetry-distinct sites (fractional):
Li  0.0000  0.0000  0.0000
Li  0.0000  0.0000  0.2021
Li  0.0000  0.0000  0.3881
I  0.0000  0.0000  0.5000
Cl  0.0000  0.0000  0.1083
Cl  0.0000  0.0000  0.2964


DFT (PBE) results for a geometry-optimized Li2ICl6 structure.

Computed properties:
- total DFT energy (no corrections) (eV for the cell shown) = -93.43
- spin magnetization (μB/atom) = 0.00

Lattice parameters (Å, degrees): 11.8650 11.5499 7.7242 90.00 95.39 90.00
Space group C2/c (No. 15)
Symmetry-distinct sites (fractional):
Li  0.2448  0.0784  0.0073
I  0.0000  0.2483  0.7500
Cl  0.0950  0.2487  0.0550
Cl  0.1581  0.4199  0.7075
Cl  0.1607  0.0748  0.7138


DFT (PBE) results for a geometry-optimized Li4I2Cl structure.

Computed properties:
- total DFT energy (no corrections) (eV for the cell shown) = -38.60
- spin magnetization (μB/atom) = 0.00

Lattice parameters (Å, degrees): 4.9097 4.9097 15.0786 90.00 90.00 90.00
Space group I4/mmm (No. 139)
Symmetry-distinct sites (fractional):
Li  0.0000  0.0000  0.1747
Li  0.0000  0.5000  0.0000
I  0.0000  0.0000  0.3655
Cl  0.0000  0.0000  0.0000


DFT (PBE) results for a geometry-optimized LiI2Cl structure.

Computed properties:
- total DFT energy (no corrections) (eV for the cell shown) = -29.52
- spin magnetization (μB/atom) = 0.00

Lattice parameters (Å, degrees): 7.7324 7.7324 7.7324 90.00 90.00 90.00
Space group Fm-3m (No. 225)
Symmetry-distinct sites (fractional):
Li  0.0000  0.0000  0.0000
I  0.2500  0.2500  0.2500
Cl  0.0000  0.0000  0.5000


DFT (PBE) results for a geometry-optimized LiIN2Cl structure.

Computed properties:
- total DFT energy (no corrections) (eV for the cell shown) = -14.05
- spin magnetization (μB/atom) = 0.19

Lattice parameters (Å, degrees): 3.8149 3.8149 8.1762 90.00 90.00 90.00
Space group P4/mmm (No. 123)
Symmetry-distinct sites (fractional):
Li  0.0000  0.0000  0.0000
I  0.5000  0.5000  0.0000
N  0.0000  0.5000  0.5000
Cl  0.5000  0.5000  0.5000


DFT (PBE) results for a geometry-optimized Li8INCl2 structure.

Computed properties:
- total DFT energy (no corrections) (eV for the cell shown) = -38.28
- spin magnetization (μB/atom) = 0.00

Lattice parameters (Å, degrees): 5.4467 6.1191 7.8609 84.43 86.73 79.98
Space group P-1 (No. 2)
Symmetry-distinct sites (fractional):
Li  0.0695  0.2466  0.0191
Li  0.2657  0.6102  0.3202
Li  0.2678  0.2955  0.5660
Li  0.2864  0.6804  0.6619
I  0.5000  0.5000  0.0000
N  0.5000  0.5000  0.5000
Cl  0.0648  0.0405  0.7689


DFT (PBE) results for a geometry-optimized LiIN2Cl structure.

Computed properties:
- total DFT energy (no corrections) (eV for the cell shown) = -13.87
- spin magnetization (μB/atom) = 1.04

Lattice parameters (Å, degrees): 4.2587 4.2587 6.2015 90.00 90.00 90.00
Space group P4/mmm (No. 123)
Symmetry-distinct sites (fractional):
Li  0.0000  0.0000  0.0000
I  0.0000  0.0000  0.5000
N  0.0000  0.5000  0.0000
Cl  0.5000  0.5000  0.5000


DFT (PBE) results for a geometry-optimized Li6INCl2 structure.

Computed properties:
- total DFT energy (no corrections) (eV for the cell shown) = -72.12
- spin magnetization (μB/atom) = 0.01

Lattice parameters (Å, degrees): 12.1565 5.9594 5.9110 90.00 116.48 90.00
Space group C2/m (No. 12)
Symmetry-distinct sites (fractional):
Li  0.1043  0.2192  0.4403
Li  0.1110  0.0000  0.8590
I  0.0000  0.5000  0.0000
N  0.0000  0.0000  0.5000
Cl  0.2457  0.0000  0.2979


DFT (PBE) results for a geometry-optimized NaLi2ICl6 structure.

Computed properties:
- total DFT energy (no corrections) (eV for the cell shown) = -28.95
- spin magnetization (μB/atom) = 0.00

Lattice parameters (Å, degrees): 6.8041 7.2099 7.2529 81.64 66.73 69.65
Space group P1 (No. 1)
Symmetry-distinct sites (fractional):
Na  0.0000  0.0000  0.0000
Li  0.4296  0.4048  0.9397
Li  0.4321  0.8585  0.2723
I  0.9556  0.5838  0.6156
Cl  0.1535  0.3310  0.8423
Cl  0.1662  0.8204  0.6144
Cl  0.3570  0.7143  0.0560
Cl  0.5430  0.1330  0.1330
Cl  0.7590  0.3529  0.6100
Cl  0.7588  0.8328  0.4183


DFT (PBE) results for a geometry-optimized LiPI2Cl structure.

Computed properties:
- total DFT energy (no corrections) (eV for the cell shown) = -10.69
- spin magnetization (μB/atom) = 0.44

Lattice parameters (Å, degrees): 6.2258 6.2258 4.4312 90.00 90.00 90.00
Space group P4/mmm (No. 123)
Symmetry-distinct sites (fractional):
Li  0.0000  0.0000  0.0000
P  0.5000  0.5000  0.0000
I  0.0000  0.5000  0.5000
Cl  0.0000  0.0000  0.5000


DFT (PBE) results for a geometry-optimized LiP2ICl structure.

Computed properties:
- total DFT energy (no corrections) (eV for the cell shown) = -13.52
- spin magnetization (μB/atom) = 0.00

Lattice parameters (Å, degrees): 4.8196 4.8196 4.4032 90.00 90.00 90.00
Space group P4/mmm (No. 123)
Symmetry-distinct sites (fractional):
Li  0.0000  0.0000  0.0000
P  0.0000  0.5000  0.0000
I  0.5000  0.5000  0.5000
Cl  0.0000  0.0000  0.5000


DFT (PBE) results for a geometry-optimized LiP2ICl structure.

Computed properties:
- total DFT energy (no corrections) (eV for the cell shown) = -12.32
- spin magnetization (μB/atom) = 0.02

Lattice parameters (Å, degrees): 5.0794 5.0794 6.9126 90.00 90.00 90.00
Space group P4/mmm (No. 123)
Symmetry-distinct sites (fractional):
Li  0.0000  0.0000  0.0000
P  0.0000  0.5000  0.5000
I  0.5000  0.5000  0.5000
Cl  0.5000  0.5000  0.0000


DFT (PBE) results for a geometry-optimized LiPaICl4 structure.

Computed properties:
- total DFT energy (no corrections) (eV for the cell shown) = -127.45
- spin magnetization (μB/atom) = 0.14

Lattice parameters (Å, degrees): 12.4641 8.7036 8.6651 90.00 106.26 90.00
Space group C2/m (No. 12)
Symmetry-distinct sites (fractional):
Li  0.1361  0.0000  0.3026
Pa  0.2215  0.5000  0.1073
I  0.0148  0.5000  0.7949
Cl  0.0599  0.0000  0.8056
Cl  0.2107  0.1898  0.1512
Cl  0.2362  0.0000  0.5755